The following is a PBE-GGA calculation of a geometry-optimized Rb12Ag2Au5 structure, from the Alexandria database.

## Properties
- Fermi-level density of states (states/eV/f.u.) = 11.17
- VASP energy (eV for the cell shown) = -35.6
- spin magnetization (μB/cell) = 0.54

a = 8.981 Å, b = 9.731 Å, c = 12.653 Å
α = 83.49°, β = 90.00°, γ = 117.48°
Sites, in units of the cell vectors:
Rb1 0.046 0.092 0.175
Rb2 0.966 0.410 0.859
Rb3 0.445 0.410 0.859
Rb4 0.886 0.280 0.467
Rb5 0.394 0.280 0.467
Rb6 0.514 0.027 0.746
Rb7 0.486 0.973 0.254
Rb8 0.114 0.720 0.533
Rb9 0.606 0.720 0.533
Rb10 0.034 0.590 0.141
Rb11 0.555 0.590 0.141
Rb12 0.954 0.908 0.825
Ag1 0.338 0.000 0.000
Ag2 0.662 0.000 0.000
Au1 0.721 0.441 0.646
Au2 0.641 0.281 0.050
Au3 0.000 0.000 0.500
Au4 0.359 0.719 0.950
Au5 0.279 0.559 0.354

=====

The following is a PBE-GGA calculation of a geometry-optimized RbAg2Au3 structure, from the Alexandria database.

## Properties
- Fermi-level density of states (states/eV/f.u.) = 1.33
- VASP energy (eV for the cell shown) = -34.3
- spin magnetization (μB/cell) = 0.00

a = 5.659 Å, b = 7.377 Å, c = 7.377 Å
α = 101.91°, β = 90.00°, γ = 90.00°
Sites, in units of the cell vectors:
Rb1 0.750 0.326 0.326
Rb2 0.250 0.674 0.674
Ag1 0.000 0.795 0.205
Ag2 0.500 0.205 0.795
Ag3 0.000 0.205 0.795
Ag4 0.500 0.795 0.205
Au1 0.750 0.913 0.913
Au2 0.250 0.087 0.087
Au3 0.750 0.938 0.532
Au4 0.250 0.062 0.468
Au5 0.750 0.532 0.938
Au6 0.250 0.468 0.062

=====

The following is a PBE-GGA calculation of a geometry-optimized Rb8AgAu2 structure, from the Alexandria database.

## Properties
- Fermi-level density of states (states/eV/f.u.) = 8.03
- VASP energy (eV for the cell shown) = -17.8
- spin magnetization (μB/cell) = 0.00

a = 6.988 Å, b = 9.702 Å, c = 9.702 Å
α = 111.31°, β = 97.67°, γ = 97.67°
Sites, in units of the cell vectors:
Rb1 0.908 0.938 0.673
Rb2 0.908 0.673 0.938
Rb3 0.300 0.633 0.633
Rb4 0.500 0.764 0.236
Rb5 0.500 0.236 0.764
Rb6 0.700 0.367 0.367
Rb7 0.092 0.327 0.062
Rb8 0.092 0.062 0.327
Ag1 0.500 0.000 0.000
Au1 0.000 0.316 0.684
Au2 0.000 0.684 0.316

=====

The following is a PBE-GGA calculation of a geometry-optimized RbAg3Au structure, from the Alexandria database.

## Properties
- ΔE to the lowest computed polymorph (meV per atom) = 1360.0
- Fermi-level density of states (states/eV/f.u.) = 4.81
- spin magnetization (μB/cell) = 0.00

a = 5.758 Å, b = 5.758 Å, c = 5.758 Å
α = 90.00°, β = 90.00°, γ = 90.00°
Sites, in units of the cell vectors:
Au1 0.500 0.500 0.500
Rb1 0.000 0.000 0.000
Ag1 0.000 0.500 0.000
Ag2 0.000 0.000 0.500
Ag3 0.500 0.000 0.000

=====

The following is a PBE-GGA calculation of a geometry-optimized Rb3Ag2Au2 structure, from the Alexandria database.

## Properties
- Fermi-level density of states (states/eV/f.u.) = 2.98
- VASP energy (eV for the cell shown) = -64.1
- spin magnetization (μB/cell) = 0.00

a = 6.617 Å, b = 9.520 Å, c = 15.013 Å
α = 90.00°, β = 90.00°, γ = 90.00°
Sites, in units of the cell vectors:
Rb1 0.118 0.633 0.104
Rb2 0.882 0.367 0.604
Rb3 0.882 0.133 0.396
Rb4 0.118 0.867 0.896
Rb5 0.882 0.367 0.896
Rb6 0.118 0.633 0.396
Rb7 0.118 0.867 0.604
Rb8 0.882 0.133 0.104
Rb9 0.338 0.279 0.250
Rb10 0.662 0.721 0.750
Rb11 0.662 0.779 0.250
Rb12 0.338 0.221 0.750
Ag1 0.614 0.482 0.082
Ag2 0.386 0.518 0.582
Ag3 0.386 0.982 0.418
Ag4 0.614 0.018 0.918
Ag5 0.386 0.518 0.918
Ag6 0.614 0.482 0.418
Ag7 0.614 0.018 0.582
Ag8 0.386 0.982 0.082
Au1 0.407 0.250 0.000
Au2 0.593 0.750 0.500
Au3 0.593 0.750 0.000
Au4 0.407 0.250 0.500
Au5 0.795 0.434 0.250
Au6 0.205 0.566 0.750
Au7 0.205 0.934 0.250
Au8 0.795 0.066 0.750

=====

The following is a PBE-GGA calculation of a geometry-optimized Rb2AgAu structure, from the Alexandria database.

## Properties
- ΔE to the lowest computed polymorph (meV per atom) = 79.8
- spin magnetization (μB/cell) = 0.00

a = 4.985 Å, b = 4.985 Å, c = 9.120 Å
α = 74.14°, β = 74.14°, γ = 60.00°
Sites, in units of the cell vectors:
Rb1 0.079 0.079 0.762
Rb2 0.254 0.254 0.237
Ag1 0.501 0.501 0.497
Au1 0.666 0.666 0.003

=====

The following is a PBE-GGA calculation of a geometry-optimized Rb3AgAu structure, from the Alexandria database.

## Properties
- ΔE to the lowest computed polymorph (meV per atom) = 134.5
- Fermi-level density of states (states/eV/f.u.) = 6.73
- spin magnetization (μB/cell) = 0.00

a = 6.593 Å, b = 6.593 Å, c = 6.593 Å
α = 90.00°, β = 90.00°, γ = 90.00°
Sites, in units of the cell vectors:
Au1 0.000 0.000 0.000
Rb1 0.000 0.500 0.000
Rb2 0.000 0.000 0.500
Rb3 0.500 0.000 0.000
Ag1 0.500 0.500 0.500

=====

The following is a PBE-GGA calculation of a geometry-optimized Rb2Ag2Au structure, from the Alexandria database.

## Properties
- ΔE to the lowest computed polymorph (meV per atom) = 115.7
- Fermi-level density of states (states/eV/f.u.) = 1.85
- spin magnetization (μB/cell) = 0.00

a = 6.767 Å, b = 6.767 Å, c = 6.284 Å
α = 57.42°, β = 57.42°, γ = 90.00°
Sites, in units of the cell vectors:
Au1 0.000 0.000 0.000
Rb1 0.750 0.250 0.500
Rb2 0.250 0.750 0.500
Ag1 0.335 0.335 0.329
Ag2 0.665 0.665 0.671